[1]
Here is P2OsS2 after structural relaxation from Alexandria via LeMat-Bulk. Energies are from GGA-PBE.

- Crystal system: tetragonal
- Theoretical density: 5.444 g/cm3

Lattice parameters (Å, degrees): 4.6598 4.6598 4.4432 90.00 90.00 90.00
Last column: nearest neighbours and their distance in Å.
Space group P4/mmm (No. 123)
Unique sites:
P (0.0000, 0.5000, 0.0000) x2  2 Os 2.33
Os (0.0000, 0.0000, 0.0000) x1  2 S 2.22, 4 P 2.33
S (0.0000, 0.0000, 0.5000) x1  2 Os 2.22
S (0.5000, 0.5000, 0.5000) x1  8 P 3.22, 4 S 3.29

=====

[2]
Here is P3OsS after structural relaxation from Alexandria via LeMat-Bulk. Energies are from GGA-PBE.

- Crystal system: cubic
- Theoretical density: 6.894 g/cm3

Lattice parameters (Å, degrees): 4.2343 4.2343 4.2343 90.00 90.00 90.00
Last column: nearest neighbours and their distance in Å.
Space group Pm-3m (No. 221)
Unique sites:
P (0.0000, 0.0000, 0.5000) x3  2 S 2.12
Os (0.5000, 0.5000, 0.5000) x1  12 P 2.99
S (0.0000, 0.0000, 0.0000) x1  6 P 2.12

=====

[3]
Here is P2OsS2 after structural relaxation from Alexandria via LeMat-Bulk. Energies are from GGA-PBE.

- Crystal system: tetragonal
- Theoretical density: 5.432 g/cm3

Lattice parameters (Å, degrees): 4.4787 4.4787 4.8206 90.00 90.00 90.00
Last column: nearest neighbours and their distance in Å.
Space group P4/mmm (No. 123)
Unique sites:
P (0.0000, 0.0000, 0.0000) x1  2 Os 2.41
P (0.5000, 0.5000, 0.0000) x1  4 P 3.17, 8 S 3.29
Os (0.0000, 0.0000, 0.5000) x1  4 S 2.24, 2 P 2.41
S (0.0000, 0.5000, 0.5000) x2  2 Os 2.24

=====

[4]
Here is POsS3 after structural relaxation from Alexandria via LeMat-Bulk. Energies are from GGA-PBE.

- Crystal system: cubic
- Theoretical density: 5.505 g/cm3

Lattice parameters (Å, degrees): 4.5748 4.5748 4.5748 90.00 90.00 90.00
Last column: nearest neighbours and their distance in Å.
Space group Pm-3m (No. 221)
Unique sites:
P (0.0000, 0.0000, 0.0000) x1  12 S 3.23
Os (0.5000, 0.5000, 0.5000) x1  6 S 2.29
S (0.0000, 0.5000, 0.5000) x3  2 Os 2.29

=====

[5]
Here is POs2S after structural relaxation from Alexandria via LeMat-Bulk. Energies are from GGA-PBE.

- Crystal system: tetragonal
- Theoretical density: 10.386 g/cm3

Lattice parameters (Å, degrees): 5.2205 5.2205 10.4074 90.00 90.00 90.00
Last column: nearest neighbours and their distance in Å.
Space group I-42d (No. 122)
Unique sites:
P (0.0000, 0.0000, 0.0000) x4  4 Os 2.27
Os (0.2467, 0.2500, 0.6250) x8  2 S 2.25, 2 P 2.27
S (0.0000, 0.0000, 0.5000) x4  4 Os 2.25

=====

[6]
Here is P2OsS2 after structural relaxation from Alexandria via LeMat-Bulk. Energies are from GGA-PBE.

- Crystal system: tetragonal
- Theoretical density: 6.105 g/cm3

Lattice parameters (Å, degrees): 6.2335 6.2335 4.4284 90.00 90.00 90.00
Last column: nearest neighbours and their distance in Å.
Space group P4/mbm (No. 127)
Unique sites:
P (0.2377, 0.2623, 0.0000) x4  2 S 2.32
Os (0.0000, 0.0000, 0.5000) x2  4 S 2.34
S (0.1603, 0.3397, 0.5000) x4  2 P 2.32, 2 Os 2.34

=====

In the order shown, the computed energy above the lowest structure with this stoichiometry values come out to 78, 525, 209, 0, 0, 0 meV per atom.
In the order shown, the computed ΔE_f (raw) values come out to 0.819, 1.324, 0.950, 0.895, 0.078, 0.741 eV/atom.
In the order shown, the computed spin magnetization values come out to 0.00, 0.00, 0.00, 0.00, 0.00, 0.00 μB/atom.